First-principles (GGA-PBE) data for SrOs2F after structural relaxation, as listed in Alexandria.

Computed properties:
Symmetry   I-42d (122)
ΔE to the lowest computed polymorph   0.0 meV per atom

Lattice parameters (Å, degrees): 9.0430 9.0430 9.0430 149.80 149.80 43.24
With the nearest neighbours (Å) after each atom.
Fractional positions:
Sr  0.0000  0.0000  0.0000  8 Os 3.33-3.41, 4 F 3.33
Sr  0.7500  0.2500  0.5000  8 Os 3.33-3.41, 4 F 3.33
Os  0.3624  0.1250  0.7374  2 Os 2.36, 2 F 2.41
Os  0.3750  0.6376  0.7626  2 Os 2.36, 2 F 2.41
Os  0.3876  0.6250  0.2626  2 Os 2.36, 2 F 2.41
Os  0.8750  0.6124  0.2374  2 Os 2.36, 2 F 2.41
F  0.2500  0.7500  0.5000  4 Os 2.41
F  0.5000  0.5000  0.0000  4 Os 2.41

=====

First-principles (GGA-PBE) data for HfMnS4 after structural relaxation, as listed in Alexandria.

Computed properties:
Symmetry   P2/m (10)

Lattice parameters (Å, degrees): 5.9949 3.5177 6.4939 90.00 90.19 90.00
With the nearest neighbours (Å) after each atom.
Fractional positions:
Hf  0.0000  0.0000  0.0000  6 S 2.53-2.54
Mn  0.5000  0.5000  0.0000  6 S 2.38
S  0.1829  0.5000  0.7774  1 Mn 2.38, 2 Hf 2.53
S  0.3575  0.0000  0.2098  2 Mn 2.38, 1 Hf 2.54
S  0.6425  0.0000  0.7902  2 Mn 2.38, 1 Hf 2.54
S  0.8171  0.5000  0.2226  1 Mn 2.38, 2 Hf 2.53

=====

These records have E_tot values of -46.39, -41.66 eV/cell, in the order they appear.